No. 1
Computed, not measured: crystalline Sm2PuHfN4 at its relaxed geometry at the PBE level of DFT.

abc: 3.4360 5.9527 5.9987
angles: 109.13 90.00 90.00
Element x y z (fractional)
Hf 0.0000 0.0000 0.0000
Pu 0.5000 0.5000 0.0000
N 0.0000 0.2472 0.7781
Sm 0.5000 0.0000 0.5000
Sm 0.0000 0.5000 0.5000
N 0.5000 0.2298 0.2198
N 0.0000 0.7528 0.2219
N 0.5000 0.7702 0.7802

Computed properties:
Calculated total energy   -9.901 eV per atom
Volume   115.92 Å³/cell
Formation energy (no corrections)   -1523.2 meV/atom

No. 2
Computed, not measured: crystalline RbCdIn2Au2 at its relaxed geometry at the PBE level of DFT.

abc: 4.7714 4.7714 8.7202
angles: 90.00 90.00 120.00
Element x y z (fractional)
Cd 0.0000 0.0000 0.5000
In 0.3333 0.6667 0.2996
Rb 0.0000 0.0000 0.0000
In 0.6667 0.3333 0.7004
Au 0.6667 0.3333 0.3520
Au 0.3333 0.6667 0.6480

Computed properties:
Calculated total energy   -2.564 eV per atom
Formation enthalpy at 0 K   -0.24 eV/atom
Volume   171.93 Å³/cell